Ba2CuNiAs2 | PBE | relaxed

a = 4.254 Å, b = 4.254 Å, c = 9.535 Å
α = 90.00°, β = 90.00°, γ = 120.00°
Sites, in units of the cell vectors:
Ba1 0.000 0.000 0.245
Ba2 0.000 0.000 0.755
Cu1 0.667 0.333 0.500
Ni1 0.333 0.667 0.000
As1 0.333 0.667 0.500
As2 0.667 0.333 0.000

Computed properties:
- Size of the total moment: 0.06 μB per formula unit
- Space-group type: P-6m2, No. 187

=====

Ba2Cu2AsP | PBE | relaxed

a = 4.300 Å, b = 4.300 Å, c = 9.254 Å
α = 90.00°, β = 90.00°, γ = 120.00°
Sites, in units of the cell vectors:
Ba1 0.000 0.000 0.245
Ba2 0.000 0.000 0.755
Cu1 0.333 0.667 0.500
Cu2 0.667 0.333 0.000
As1 0.667 0.333 0.500
P1 0.333 0.667 0.000

Computed properties:
- Space-group type: P-6m2, No. 187

=====

Ba2CuAs2Pd | PBE | relaxed

a = 4.378 Å, b = 4.378 Å, c = 9.495 Å
α = 90.00°, β = 90.00°, γ = 120.00°
Sites, in units of the cell vectors:
Ba1 0.000 0.000 0.249
Ba2 0.000 0.000 0.751
Cu1 0.667 0.333 0.500
As1 0.333 0.667 0.500
As2 0.667 0.333 0.000
Pd1 0.333 0.667 0.000

Computed properties:
- Space-group type: P-6m2, No. 187

=====

no.,total DFT energy (no corrections) (eV/atom)
1,-4.471
2,-4.296
3,-4.528